## NbRe2Pt (SCAN)

Data for NbRe2Pt at its PBEsol-relaxed geometry.

abc: 4.4403 4.4403 4.4403
angles: 60.00 60.00 60.00
Atoms (fractional coordinates):
Re1 0.2500 0.2500 0.2500
Re2 0.7500 0.7500 0.7500
Nb1 0.0000 0.0000 0.0000
Pt1 0.5000 0.5000 0.5000

Summary:
E_tot	-2.24910	hartree per atom
density	17715	kg/m³
symmetry	Fm-3m, No. 225
N(E_F)	1.412	states/eV per atom